1.
Computed, not measured: a geometry-optimized In4Hg2I3 structure at the PBE-GGA level of DFT. Values from VASP.

Values from the calculation:
magnetization	0.0	μB/cell
calculated volume	36.31	Å³ per atom
E_form (uncorrected)	-0.22	eV/atom
calculated density	6.3	g cm⁻³

```
&SYSTEM
  ibrav = 0, nat = 18, ntyp = 3
/
ATOMIC_SPECIES
In 114.82 In.upf
Hg 200.59 Hg.upf
I 126.90 I.upf
ATOMIC_POSITIONS angstrom
In 5.541 4.142 4.702
In 3.924 1.231 6.046
In 8.650 4.142 4.822
In 4.958 -1.231 2.871
In 10.267 1.231 3.478
In 6.575 -4.142 1.527
In 11.301 -1.231 0.303
In 9.684 -4.142 1.647
Hg 4.058 1.695 2.282
Hg 3.024 -1.695 5.457
Hg 12.201 1.695 0.893
Hg 11.167 -1.695 4.067
I 0.606 1.458 4.901
I 1.640 -1.458 1.726
I 7.095 1.048 4.762
I 8.130 -1.048 1.587
I 13.585 1.458 4.623
I 14.619 -1.458 1.448
CELL_PARAMETERS angstrom
8.647 -5.953 0.000
8.647 5.953 0.000
-2.068 0.000 6.349
```

=====

2.
Computed, not measured: a geometry-optimized Th4CoIrSe2 structure at the PBE-GGA level of DFT. Values from VASP.

Values from the calculation:
magnetization	0.0	μB/cell
calculated volume	26.42	Å³ per atom
E_form (uncorrected)	-1.12	eV/atom
calculated density	10.5	g cm⁻³

```
&SYSTEM
  ibrav = 0, nat = 8, ntyp = 4
/
ATOMIC_SPECIES
Th 232.04 Th.upf
Co 58.93 Co.upf
Ir 192.22 Ir.upf
Se 78.96 Se.upf
ATOMIC_POSITIONS angstrom
Th 1.166 0.000 1.551
Th -0.025 2.060 5.748
Th 4.781 2.060 1.562
Th 3.590 0.000 5.759
Co 0.000 2.060 0.000
Ir 3.510 0.000 0.000
Se -1.132 0.000 3.655
Se 2.378 2.060 3.655
CELL_PARAMETERS angstrom
7.020 0.000 0.000
0.000 4.119 0.000
-2.264 0.000 7.311
```

=====

3.
Computed, not measured: a geometry-optimized CaReN3 structure at the PBE-GGA level of DFT. Values from VASP.

Values from the calculation:
magnetization	0.0	μB/cell
calculated volume	13.11	Å³ per atom
E_form (uncorrected)	-0.27	eV/atom
calculated density	6.8	g cm⁻³

```
&SYSTEM
  ibrav = 0, nat = 10, ntyp = 3
/
ATOMIC_SPECIES
Ca 40.08 Ca.upf
Re 186.21 Re.upf
N 14.01 N.upf
ATOMIC_POSITIONS angstrom
Ca 0.000 0.000 0.000
Ca 1.525 0.000 4.182
Re 4.603 0.000 2.753
Re 8.222 0.000 1.466
N 3.984 0.000 0.847
N 3.651 0.000 5.668
N 4.183 0.000 4.583
N 6.472 0.000 2.300
N 6.028 0.000 7.069
N 6.565 0.000 6.002
CELL_PARAMETERS angstrom
5.541 -1.569 0.000
5.541 1.569 0.000
-1.740 0.000 7.540
```

=====

Which formula does entry 1 have? In4Hg2I3